Here is an optimized crystal structure of ZnCuHg2 from Alexandria via LeMat-Bulk. Energies are from PBE-GGA.

Summary:
space group = C2/m (12)
DOS at the Fermi energy = 1.06 states/eV/f.u.
total DFT energy (no corrections) = -1.2954 eV/atom

Cell: 6.2107 7.5369 3.1376 Å, 90.00 91.02 90.00°
Positions (direct):
Zn (0.0000, 0.0000, 0.0000)
Zn (0.5000, 0.5000, 0.0000)
Cu (0.0000, 0.5000, 0.0000)
Cu (0.5000, 0.0000, 0.0000)
Hg (0.2500, 0.2500, 0.5000)
Hg (0.2500, 0.7500, 0.5000)
Hg (0.7500, 0.2500, 0.5000)
Hg (0.7500, 0.7500, 0.5000)